Te2PO after structural relaxation, computed with PBE.

Unit cell a=6.743 b=6.743 c=6.039 alpha=56.06 beta=56.06 gamma=90.00
Element x y z (fractional)
P (0.000, 0.000, 0.000)
P (0.750, 0.250, 0.500)
Te (0.594, 0.125, 0.250)
Te (0.156, 0.625, 0.250)
Te (0.375, 0.406, 0.750)
Te (0.875, 0.844, 0.750)
O (0.500, 0.500, 0.000)
O (0.250, 0.750, 0.500)

Values from the calculation:
- DOS at the Fermi energy (states/eV per cell) = 5.1
- total magnetic moment (Bohr magnetons per cell) = 0.00
- E (eV/atom) = -3.950
- formation energy from raw total energies (eV per atom) = 0.213
- offset from the most stable computed form (meV/atom) = 119.4